Record 1
# SmZrCdAg (PBE, optimized geometry)
data_SmZrCdAg
_cell_length_a 5.133
_cell_length_b 5.133
_cell_length_c 5.133
_cell_angle_alpha 60.00
_cell_angle_beta 60.00
_cell_angle_gamma 60.00
_symmetry_space_group_name_H-M 'P 1'
_symmetry_Int_Tables_number 1
loop_
_symmetry_equiv_pos_as_xyz
'x,y,z'
loop_
_atom_site_label
_atom_site_type_symbol
_atom_site_fract_x
_atom_site_fract_y
_atom_site_fract_z
Sm1 Sm 0.000 0.000 0.000
Zr1 Zr 0.500 0.500 0.500
Cd1 Cd 0.750 0.750 0.750
Ag1 Ag 0.250 0.250 0.250
# Calculated formation energy, eV/f.u.: -0.3
# Magnetic moment, μB/f.u.: 1.341
# Crystal system: cubic
# Fermi-level density of states, states/eV/atom: 0.889

***

Record 2
# SbPbO2F (PBE, optimized geometry)
data_SbPbO2F
_cell_length_a 6.447
_cell_length_b 4.116
_cell_length_c 7.536
_cell_angle_alpha 90.00
_cell_angle_beta 94.31
_cell_angle_gamma 90.00
_symmetry_space_group_name_H-M 'P 1'
_symmetry_Int_Tables_number 1
loop_
_symmetry_equiv_pos_as_xyz
'x,y,z'
loop_
_atom_site_label
_atom_site_type_symbol
_atom_site_fract_x
_atom_site_fract_y
_atom_site_fract_z
Sb1 Sb 0.172 0.250 0.401
Sb2 Sb 0.828 0.750 0.599
Pb1 Pb 0.227 0.250 0.919
Pb2 Pb 0.773 0.750 0.081
O1 O 0.021 0.250 0.164
O2 O 0.073 0.750 0.438
O3 O 0.927 0.250 0.562
O4 O 0.979 0.750 0.836
F1 F 0.365 0.750 0.081
F2 F 0.635 0.250 0.919
# Magnetic moment, μB/f.u.: 0.000
# Crystal system: monoclinic
# Energy relative to the elements, uncorrected, eV/atom: -1.617
# Fermi-level density of states, states/eV/atom: 0.000

***

Record 3
# TlSiPb2 (PBE, optimized geometry)
data_TlSiPb2
_cell_length_a 5.414
_cell_length_b 5.414
_cell_length_c 5.414
_cell_angle_alpha 60.00
_cell_angle_beta 60.00
_cell_angle_gamma 60.00
_symmetry_space_group_name_H-M 'P 1'
_symmetry_Int_Tables_number 1
loop_
_symmetry_equiv_pos_as_xyz
'x,y,z'
loop_
_atom_site_label
_atom_site_type_symbol
_atom_site_fract_x
_atom_site_fract_y
_atom_site_fract_z
Tl1 Tl 0.000 0.000 0.000
Si1 Si 0.750 0.750 0.750
Pb1 Pb 0.250 0.250 0.250
Pb2 Pb 0.500 0.500 0.500
# Magnetic moment, μB/f.u.: 0.000
# Crystal system: cubic
# Energy relative to the elements, uncorrected, eV/atom: 0.385
# Fermi-level density of states, states/eV/atom: 0.516

***

Record 4
# Li2ScTa (PBE, optimized geometry)
data_Li2ScTa
_cell_length_a 6.031
_cell_length_b 6.031
_cell_length_c 2.773
_cell_angle_alpha 101.76
_cell_angle_beta 101.76
_cell_angle_gamma 123.04
_symmetry_space_group_name_H-M 'P 1'
_symmetry_Int_Tables_number 1
loop_
_symmetry_equiv_pos_as_xyz
'x,y,z'
loop_
_atom_site_label
_atom_site_type_symbol
_atom_site_fract_x
_atom_site_fract_y
_atom_site_fract_z
Li1 Li 0.000 0.500 0.000
Li2 Li 0.500 0.000 0.000
Sc1 Sc 0.000 0.000 0.500
Ta1 Ta 0.500 0.500 0.500
# Calculated formation energy, eV/f.u.: 1.5
# Magnetic moment, μB/f.u.: 0.000
# Crystal system: monoclinic
# Fermi-level density of states, states/eV/atom: 0.912
# Energy relative to the lowest polymorph listed for this composition, meV/atom: 198

***

Record 5
# BaYCu2Cl8 (PBE, optimized geometry)
data_BaYCu2Cl8
_cell_length_a 6.409
_cell_length_b 6.409
_cell_length_c 9.086
_cell_angle_alpha 90.00
_cell_angle_beta 90.00
_cell_angle_gamma 120.00
_symmetry_space_group_name_H-M 'P 1'
_symmetry_Int_Tables_number 1
loop_
_symmetry_equiv_pos_as_xyz
'x,y,z'
loop_
_atom_site_label
_atom_site_type_symbol
_atom_site_fract_x
_atom_site_fract_y
_atom_site_fract_z
Ba1 Ba 0.000 0.000 0.000
Y1 Y 0.000 0.000 0.500
Cu1 Cu 0.333 0.667 0.746
Cu2 Cu 0.667 0.333 0.254
Cl1 Cl 0.012 0.689 0.314
Cl2 Cl 0.311 0.324 0.314
Cl3 Cl 0.324 0.012 0.686
Cl4 Cl 0.333 0.667 0.992
Cl5 Cl 0.667 0.333 0.008
Cl6 Cl 0.676 0.988 0.314
Cl7 Cl 0.689 0.676 0.686
Cl8 Cl 0.988 0.311 0.686
# Magnetic moment, μB/f.u.: 1.096
# Crystal system: trigonal
# Energy relative to the elements, uncorrected, eV/atom: -1.522
# Fermi-level density of states, states/eV/atom: 1.089

***

Record 6
# TbTePt (PBE, optimized geometry)
data_TbTePt
_cell_length_a 10.185
_cell_length_b 10.185
_cell_length_c 4.153
_cell_angle_alpha 90.00
_cell_angle_beta 90.00
_cell_angle_gamma 158.59
_symmetry_space_group_name_H-M 'P 1'
_symmetry_Int_Tables_number 1
loop_
_symmetry_equiv_pos_as_xyz
'x,y,z'
loop_
_atom_site_label
_atom_site_type_symbol
_atom_site_fract_x
_atom_site_fract_y
_atom_site_fract_z
Tb1 Tb 0.094 0.906 0.750
Tb2 Tb 0.906 0.094 0.250
Te1 Te 0.323 0.677 0.750
Te2 Te 0.677 0.323 0.250
Pt1 Pt 0.459 0.541 0.750
Pt2 Pt 0.541 0.459 0.250
# Magnetic moment, μB/f.u.: 0.000
# Crystal system: orthorhombic
# Energy relative to the elements, uncorrected, eV/atom: -1.104
# Fermi-level density of states, states/eV/atom: 0.515

***

Record 7
# PrTmHg3 (PBE, optimized geometry)
data_PrTmHg3
_cell_length_a 11.147
_cell_length_b 11.147
_cell_length_c 11.147
_cell_angle_alpha 36.88
_cell_angle_beta 36.88
_cell_angle_gamma 36.88
_symmetry_space_group_name_H-M 'P 1'
_symmetry_Int_Tables_number 1
loop_
_symmetry_equiv_pos_as_xyz
'x,y,z'
loop_
_atom_site_label
_atom_site_type_symbol
_atom_site_fract_x
_atom_site_fract_y
_atom_site_fract_z
Pr1 Pr 0.000 0.000 0.000
Pr2 Pr 0.229 0.229 0.229
Pr3 Pr 0.771 0.771 0.771
Tm1 Tm 0.398 0.398 0.398
Tm2 Tm 0.500 0.500 0.500
Tm3 Tm 0.602 0.602 0.602
Hg1 Hg 0.000 0.500 0.500
Hg2 Hg 0.154 0.751 0.751
Hg3 Hg 0.249 0.249 0.846
Hg4 Hg 0.249 0.846 0.249
Hg5 Hg 0.500 0.000 0.500
Hg6 Hg 0.500 0.500 0.000
Hg7 Hg 0.751 0.154 0.751
Hg8 Hg 0.751 0.751 0.154
Hg9 Hg 0.846 0.249 0.249
# Calculated formation energy, eV/f.u.: -0.9
# Magnetic moment, μB/f.u.: 0.000
# Crystal system: trigonal
# Fermi-level density of states, states/eV/atom: 1.102
# Energy relative to the lowest polymorph listed for this composition, meV/atom: 250

***

Record 8
# Ce2CBr2 (PBE, optimized geometry)
data_Ce2CBr2
_cell_length_a 11.108
_cell_length_b 11.108
_cell_length_c 11.108
_cell_angle_alpha 19.68
_cell_angle_beta 19.68
_cell_angle_gamma 19.68
_symmetry_space_group_name_H-M 'P 1'
_symmetry_Int_Tables_number 1
loop_
_symmetry_equiv_pos_as_xyz
'x,y,z'
loop_
_atom_site_label
_atom_site_type_symbol
_atom_site_fract_x
_atom_site_fract_y
_atom_site_fract_z
Ce1 Ce 0.123 0.123 0.123
Ce2 Ce 0.877 0.877 0.877
C1 C 0.500 0.500 0.500
Br1 Br 0.393 0.393 0.393
Br2 Br 0.607 0.607 0.607
# Magnetic moment, μB/f.u.: 2.047
# Crystal system: trigonal
# Energy relative to the elements, uncorrected, eV/atom: -1.073
# Fermi-level density of states, states/eV/atom: 1.727